Entry 1:
Computed, not measured: La4Cd3Pb after structural relaxation at the PBE level of DFT.

Cell lengths 9.7349, 9.7349, 9.7349 Å; angles 33.34, 33.34, 33.34 degrees
Atoms (fractional coordinates):
La 0.1248 0.1248 0.1248
La 0.3748 0.3748 0.3748
La 0.6252 0.6252 0.6252
La 0.8752 0.8752 0.8752
Cd 0.0000 0.0000 0.0000
Cd 0.2541 0.2541 0.2541
Cd 0.7459 0.7459 0.7459
Pb 0.5000 0.5000 0.5000

* total DFT energy (no corrections): -29.38 eV/cell
* theoretical density: 7363 kg/m³
* energy relative to the elements: -0.4021 eV per atom



Entry 2:
Computed, not measured: Rb4TbDy3Se8 after structural relaxation at the PBE level of DFT.

Cell lengths 9.3786, 9.3786, 9.3786 Å; angles 53.84, 53.84, 53.84 degrees
Atoms (fractional coordinates):
Rb 0.0000 0.0000 0.0000
Rb 0.0000 0.5000 0.5000
Rb 0.5000 0.0000 0.5000
Rb 0.5000 0.5000 0.0000
Tb 0.5000 0.5000 0.5000
Dy 0.0000 0.0000 0.5000
Dy 0.0000 0.5000 0.0000
Dy 0.5000 0.0000 0.0000
Se 0.2310 0.7323 0.7323
Se 0.2318 0.2318 0.2318
Se 0.2677 0.2677 0.7690
Se 0.2677 0.7690 0.2677
Se 0.7323 0.2310 0.7323
Se 0.7323 0.7323 0.2310
Se 0.7682 0.7682 0.7682
Se 0.7690 0.2677 0.2677

* total DFT energy (no corrections): -78.03 eV/cell
* energy relative to the elements, uncorrected: -167.9 kJ/mol of atoms
* theoretical density: 5387 kg/m³



Entry 3:
Computed, not measured: CaGe2BiO6 after structural relaxation at the PBE level of DFT.

Cell lengths 7.1101, 7.1101, 6.0816 Å; angles 102.02, 102.02, 84.68 degrees
Atoms (fractional coordinates):
Ca 0.0986 0.9014 0.7500
Ca 0.9014 0.0986 0.2500
Ge 0.2030 0.3775 0.7414
Ge 0.3775 0.2030 0.2414
Ge 0.6225 0.7970 0.7586
Ge 0.7970 0.6225 0.2586
Bi 0.2991 0.7009 0.2500
Bi 0.7009 0.2991 0.7500
O 0.0050 0.2176 0.6542
O 0.1287 0.6130 0.8666
O 0.2176 0.0050 0.1542
O 0.2948 0.3874 0.4746
O 0.3874 0.2948 0.9746
O 0.3870 0.8713 0.6334
O 0.6130 0.1287 0.3666
O 0.6126 0.7052 0.0254
O 0.7052 0.6126 0.5254
O 0.7824 0.9950 0.8458
O 0.8713 0.3870 0.1334
O 0.9950 0.7824 0.3458

* total DFT energy (no corrections): -124.89 eV/cell
* energy relative to the elements, uncorrected: -169.6 kJ/mol of atoms
* theoretical density: 5544 kg/m³



Entry 4:
Computed, not measured: AlTlSn3 after structural relaxation at the PBE level of DFT.

Cell lengths 5.7298, 5.7298, 5.7298 Å; angles 90.00, 90.00, 90.00 degrees
Atoms (fractional coordinates):
Al 0.0000 0.0000 0.0000
Tl 0.5000 0.5000 0.5000
Sn 0.0000 0.5000 0.5000
Sn 0.5000 0.0000 0.5000
Sn 0.5000 0.5000 0.0000

* total DFT energy (no corrections): -13.71 eV/cell
* theoretical density: 5186 kg/m³
* energy relative to the elements: 0.8822 eV per atom
* energy relative to the lowest polymorph listed for this composition: 560 meV/atom



Entry 5:
Computed, not measured: MnSi2 after structural relaxation at the PBE level of DFT.

Cell lengths 6.4768, 6.4768, 3.0022 Å; angles 90.00, 90.00, 120.00 degrees
Atoms (fractional coordinates):
Mn 0.0000 0.0000 0.0000
Mn 0.3333 0.6667 0.5000
Mn 0.6667 0.3333 0.5000
Si 0.0000 0.2746 0.5000
Si 0.0000 0.6293 0.0000
Si 0.2746 0.0000 0.5000
Si 0.3707 0.3707 0.0000
Si 0.6293 0.0000 0.0000
Si 0.7254 0.7254 0.5000

* total DFT energy (no corrections): -62.07 eV/cell
* energy relative to the elements, uncorrected: -21.7 kJ/mol of atoms
* theoretical density: 5075 kg/m³



Entry 6:
Computed, not measured: Sr2TeRh after structural relaxation at the PBE level of DFT.

Cell lengths 3.9402, 4.8526, 12.6224 Å; angles 90.00, 90.00, 90.00 degrees
Atoms (fractional coordinates):
Sr 0.0000 0.0000 0.0000
Sr 0.0000 0.5000 0.2203
Sr 0.5000 0.0000 0.7203
Sr 0.5000 0.5000 0.5000
Te 0.0000 0.5000 0.8134
Te 0.5000 0.0000 0.3134
Rh 0.0000 0.0000 0.4605
Rh 0.5000 0.5000 0.9605

* total DFT energy (no corrections): -32.59 eV/cell
* energy relative to the elements, uncorrected: -58.9 kJ/mol of atoms
* theoretical density: 5583 kg/m³



Entry 7:
Computed, not measured: YMgAgAu after structural relaxation at the PBE level of DFT.

Cell lengths 6.9716, 6.9716, 6.9716 Å; angles 90.00, 90.00, 90.00 degrees
Atoms (fractional coordinates):
Y 0.0000 0.0000 0.0000
Y 0.0000 0.5000 0.5000
Y 0.5000 0.0000 0.5000
Y 0.5000 0.5000 0.0000
Mg 0.0000 0.0000 0.5000
Mg 0.0000 0.5000 0.0000
Mg 0.5000 0.0000 0.0000
Mg 0.5000 0.5000 0.5000
Ag 0.2500 0.2500 0.2500
Ag 0.2500 0.7500 0.7500
Ag 0.7500 0.2500 0.7500
Ag 0.7500 0.7500 0.2500
Au 0.2500 0.2500 0.7500
Au 0.2500 0.7500 0.2500
Au 0.7500 0.2500 0.2500
Au 0.7500 0.7500 0.7500

* total DFT energy (no corrections): -65.51 eV/cell
* theoretical density: 8195 kg/m³
* energy relative to the elements: -0.5476 eV per atom



Entry 8:
Computed, not measured: Fe2AgAu after structural relaxation at the PBE level of DFT.

Cell lengths 3.3698, 3.3698, 5.4682 Å; angles 90.00, 90.00, 90.00 degrees
Atoms (fractional coordinates):
Fe 0.0000 0.0000 0.2260
Fe 0.0000 0.0000 0.7740
Ag 0.5000 0.5000 0.5000
Au 0.5000 0.5000 0.0000

* total DFT energy (no corrections): -21.61 eV/cell
* theoretical density: 11139 kg/m³
* energy relative to the elements: 0.3617 eV per atom



Q: The lowest total DFT energy (no corrections) belongs to which entry?
A: CaGe2BiO6



Q: Which value of theoretical density does entry 4 give?
A: 5186 kg/m³